(1)
Crystalline TbTmI at its relaxed geometry, computed with PBE.

Geometry as CIF:
```
data_TbTmI
_cell_length_a 5.3970
_cell_length_b 5.3970
_cell_length_c 3.7540
_cell_angle_alpha 90.00
_cell_angle_beta 90.00
_cell_angle_gamma 120.00
_space_group_name_H-M_alt 'P 1'
_space_group_IT_number 1
loop_
_space_group_symop_operation_xyz
'x,y,z'
loop_
_atom_site_label
_atom_site_type_symbol
_atom_site_fract_x
_atom_site_fract_y
_atom_site_fract_z
Tb1 Tb 0.0000 0.0000 0.0000
Tm1 Tm 0.6667 0.3333 0.5218
I1 I 0.3333 0.6667 0.7292
```

D(E_F), states/eV per cell: 2.02
Distance to the lowest polymorph of the same formula, eV per atom: 0.238
Magnetic moment, μB/f.u.: 0.000
Electronic total energy, eV/atom: -3.700
SG: P3m1 (156)

(2)
Crystalline TbTmI at its relaxed geometry, computed with PBE.

Geometry as CIF:
```
data_TbTmI
_cell_length_a 7.3609
_cell_length_b 7.3609
_cell_length_c 7.3609
_cell_angle_alpha 151.13
_cell_angle_beta 151.13
_cell_angle_gamma 41.29
_space_group_name_H-M_alt 'P 1'
_space_group_IT_number 1
loop_
_space_group_symop_operation_xyz
'x,y,z'
loop_
_atom_site_label
_atom_site_type_symbol
_atom_site_fract_x
_atom_site_fract_y
_atom_site_fract_z
Tb1 Tb 0.0000 0.0000 0.0000
Tm1 Tm 0.3333 0.3333 0.0000
I1 I 0.6682 0.6682 0.0000
```

D(E_F), states/eV per cell: 3.58
Distance to the lowest polymorph of the same formula, eV per atom: 0.000
Magnetic moment, μB/f.u.: 0.000
Electronic total energy, eV/atom: -3.938
SG: I4mm (107)

(3)
Crystalline TbTmI at its relaxed geometry, computed with PBE.

Geometry as CIF:
```
data_TbTmI
_cell_length_a 5.7657
_cell_length_b 5.7657
_cell_length_c 9.9602
_cell_angle_alpha 90.79
_cell_angle_beta 90.79
_cell_angle_gamma 37.15
_space_group_name_H-M_alt 'P 1'
_space_group_IT_number 1
loop_
_space_group_symop_operation_xyz
'x,y,z'
loop_
_atom_site_label
_atom_site_type_symbol
_atom_site_fract_x
_atom_site_fract_y
_atom_site_fract_z
Tb1 Tb 0.1488 0.1488 0.2231
Tb2 Tb 0.8512 0.8512 0.7769
Tm1 Tm 0.1400 0.1400 0.5649
Tm2 Tm 0.8600 0.8600 0.4351
I1 I 0.1326 0.1326 0.8839
I2 I 0.8674 0.8674 0.1161
```

D(E_F), states/eV per cell: 6.77
Distance to the lowest polymorph of the same formula, eV per atom: 0.084
Magnetic moment, μB/f.u.: 0.001
Electronic total energy, eV/atom: -3.854
SG: C2/m (12)

(4)
Crystalline TbTmI6 at its relaxed geometry, computed with PBE.

Geometry as CIF:
```
data_TbTmI6
_cell_length_a 8.1353
_cell_length_b 8.1353
_cell_length_c 8.1353
_cell_angle_alpha 55.69
_cell_angle_beta 55.69
_cell_angle_gamma 55.69
_space_group_name_H-M_alt 'P 1'
_space_group_IT_number 1
loop_
_space_group_symop_operation_xyz
'x,y,z'
loop_
_atom_site_label
_atom_site_type_symbol
_atom_site_fract_x
_atom_site_fract_y
_atom_site_fract_z
Tb1 Tb 0.0000 0.0000 0.0000
Tm1 Tm 0.5000 0.5000 0.5000
I1 I 0.0938 0.7471 0.4108
I2 I 0.2529 0.5892 0.9062
I3 I 0.4108 0.0938 0.7471
I4 I 0.5892 0.9062 0.2529
I5 I 0.7471 0.4108 0.0938
I6 I 0.9062 0.2529 0.5892
```

D(E_F), states/eV per cell: 0.00
Magnetic moment, μB/f.u.: 0.000
Electronic total energy, eV/atom: -3.615
SG: R-3 (148)

(5)
Crystalline TbTmI2 at its relaxed geometry, computed with PBE.

Geometry as CIF:
```
data_TbTmI2
_cell_length_a 10.8423
_cell_length_b 10.8423
_cell_length_c 10.8423
_cell_angle_alpha 20.36
_cell_angle_beta 20.36
_cell_angle_gamma 20.36
_space_group_name_H-M_alt 'P 1'
_space_group_IT_number 1
loop_
_space_group_symop_operation_xyz
'x,y,z'
loop_
_atom_site_label
_atom_site_type_symbol
_atom_site_fract_x
_atom_site_fract_y
_atom_site_fract_z
Tb1 Tb 0.0000 0.0000 0.0000
Tm1 Tm 0.5000 0.5000 0.5000
I1 I 0.4033 0.4033 0.4033
I2 I 0.5967 0.5967 0.5967
```

D(E_F), states/eV per cell: 2.60
Magnetic moment, μB/f.u.: 0.000
Electronic total energy, eV/atom: -3.669
SG: R-3m (166)

(6)
Crystalline TbY2I at its relaxed geometry, computed with PBE.

Geometry as CIF:
```
data_TbY2I
_cell_length_a 10.6427
_cell_length_b 10.6427
_cell_length_c 10.6427
_cell_angle_alpha 20.46
_cell_angle_beta 20.46
_cell_angle_gamma 20.46
_space_group_name_H-M_alt 'P 1'
_space_group_IT_number 1
loop_
_space_group_symop_operation_xyz
'x,y,z'
loop_
_atom_site_label
_atom_site_type_symbol
_atom_site_fract_x
_atom_site_fract_y
_atom_site_fract_z
Tb1 Tb 0.0000 0.0000 0.0000
Y1 Y 0.5793 0.5793 0.5793
Y2 Y 0.7549 0.7549 0.7549
I1 I 0.1669 0.1669 0.1669
```

D(E_F), states/eV per cell: 6.25
Distance to the lowest polymorph of the same formula, eV per atom: 0.000
Magnetic moment, μB/f.u.: 0.016
Electronic total energy, eV/atom: -5.128
SG: R3m (160)

(7)
Crystalline TbY2I at its relaxed geometry, computed with PBE.

Geometry as CIF:
```
data_TbY2I
_cell_length_a 3.6555
_cell_length_b 3.6555
_cell_length_c 9.5157
_cell_angle_alpha 90.00
_cell_angle_beta 90.00
_cell_angle_gamma 90.00
_space_group_name_H-M_alt 'P 1'
_space_group_IT_number 1
loop_
_space_group_symop_operation_xyz
'x,y,z'
loop_
_atom_site_label
_atom_site_type_symbol
_atom_site_fract_x
_atom_site_fract_y
_atom_site_fract_z
Tb1 Tb 0.0000 0.0000 0.0000
Y1 Y 0.5000 0.5000 0.2553
Y2 Y 0.5000 0.5000 0.7447
I1 I 0.0000 0.0000 0.5000
```

D(E_F), states/eV per cell: 5.11
Distance to the lowest polymorph of the same formula, eV per atom: 0.069
Magnetic moment, μB/f.u.: 0.000
Electronic total energy, eV/atom: -5.059
SG: P4/mmm (123)

(8)
Crystalline TbY2I at its relaxed geometry, computed with PBE.

Geometry as CIF:
```
data_TbY2I
_cell_length_a 11.8616
_cell_length_b 11.8616
_cell_length_c 11.8616
_cell_angle_alpha 17.57
_cell_angle_beta 17.57
_cell_angle_gamma 17.57
_space_group_name_H-M_alt 'P 1'
_space_group_IT_number 1
loop_
_space_group_symop_operation_xyz
'x,y,z'
loop_
_atom_site_label
_atom_site_type_symbol
_atom_site_fract_x
_atom_site_fract_y
_atom_site_fract_z
Tb1 Tb 0.0000 0.0000 0.0000
Y1 Y 0.0958 0.0958 0.0958
Y2 Y 0.9042 0.9042 0.9042
I1 I 0.5000 0.5000 0.5000
```

D(E_F), states/eV per cell: 5.56
Distance to the lowest polymorph of the same formula, eV per atom: 0.329
Magnetic moment, μB/f.u.: 1.705
Electronic total energy, eV/atom: -4.799
SG: R-3m (166)

(9)
Crystalline TbYI4 at its relaxed geometry, computed with PBE.

Geometry as CIF:
```
data_TbYI4
_cell_length_a 9.0847
_cell_length_b 9.0847
_cell_length_c 7.1771
_cell_angle_alpha 113.23
_cell_angle_beta 113.23
_cell_angle_gamma 26.39
_space_group_name_H-M_alt 'P 1'
_space_group_IT_number 1
loop_
_space_group_symop_operation_xyz
'x,y,z'
loop_
_atom_site_label
_atom_site_type_symbol
_atom_site_fract_x
_atom_site_fract_y
_atom_site_fract_z
Tb1 Tb 0.0000 0.0000 0.0000
Y1 Y 0.5000 0.5000 0.5000
I1 I 0.1212 0.1212 0.7873
I2 I 0.3785 0.3785 0.7113
I3 I 0.6215 0.6215 0.2887
I4 I 0.8788 0.8788 0.2127
```

D(E_F), states/eV per cell: 3.49
Magnetic moment, μB/f.u.: 0.000
Electronic total energy, eV/atom: -4.108
SG: C2/m (12)

(10)
Crystalline TbY2I6 at its relaxed geometry, computed with PBE.

Geometry as CIF:
```
data_TbY2I6
_cell_length_a 8.8494
_cell_length_b 8.8494
_cell_length_c 11.4371
_cell_angle_alpha 115.84
_cell_angle_beta 115.84
_cell_angle_gamma 27.12
_space_group_name_H-M_alt 'P 1'
_space_group_IT_number 1
loop_
_space_group_symop_operation_xyz
'x,y,z'
loop_
_atom_site_label
_atom_site_type_symbol
_atom_site_fract_x
_atom_site_fract_y
_atom_site_fract_z
Tb1 Tb 0.0000 0.0000 0.0000
Y1 Y 0.3485 0.3485 0.6918
Y2 Y 0.6515 0.6515 0.3082
I1 I 0.0143 0.0143 0.2842
I2 I 0.3022 0.3022 0.3892
I3 I 0.3548 0.3548 0.9589
I4 I 0.6452 0.6452 0.0411
I5 I 0.6978 0.6978 0.6108
I6 I 0.9857 0.9857 0.7158
```

D(E_F), states/eV per cell: 6.03
Magnetic moment, μB/f.u.: 0.000
Electronic total energy, eV/atom: -4.216
SG: C2/m (12)

(11)
Crystalline TbYI4 at its relaxed geometry, computed with PBE.

Geometry as CIF:
```
data_TbYI4
_cell_length_a 7.1733
_cell_length_b 4.1464
_cell_length_c 8.3520
_cell_angle_alpha 90.00
_cell_angle_beta 106.49
_cell_angle_gamma 90.00
_space_group_name_H-M_alt 'P 1'
_space_group_IT_number 1
loop_
_space_group_symop_operation_xyz
'x,y,z'
loop_
_atom_site_label
_atom_site_type_symbol
_atom_site_fract_x
_atom_site_fract_y
_atom_site_fract_z
Tb1 Tb 0.0000 0.0000 0.0000
Y1 Y 0.5000 0.5000 0.0000
I1 I 0.2484 0.5000 0.2456
I2 I 0.2528 0.0000 0.7550
I3 I 0.7472 0.0000 0.2450
I4 I 0.7516 0.5000 0.7544
```

D(E_F), states/eV per cell: 3.42
Magnetic moment, μB/f.u.: 0.000
Electronic total energy, eV/atom: -4.108
SG: P2/m (10)

(12)
Crystalline TbYI5 at its relaxed geometry, computed with PBE.

Geometry as CIF:
```
data_TbYI5
_cell_length_a 9.5082
_cell_length_b 4.1163
_cell_length_c 15.7119
_cell_angle_alpha 90.00
_cell_angle_beta 90.62
_cell_angle_gamma 90.00
_space_group_name_H-M_alt 'P 1'
_space_group_IT_number 1
loop_
_space_group_symop_operation_xyz
'x,y,z'
loop_
_atom_site_label
_atom_site_type_symbol
_atom_site_fract_x
_atom_site_fract_y
_atom_site_fract_z
Tb1 Tb 0.1619 0.2500 0.3178
Tb2 Tb 0.8381 0.7500 0.6822
Y1 Y 0.4204 0.7500 0.1410
Y2 Y 0.5796 0.2500 0.8590
I1 I 0.0724 0.2500 0.7162
I2 I 0.1781 0.2500 0.1180
I3 I 0.2344 0.7500 0.4560
I4 I 0.3612 0.7500 0.9325
I5 I 0.4863 0.2500 0.2872
I6 I 0.5137 0.7500 0.7128
I7 I 0.6388 0.2500 0.0675
I8 I 0.7656 0.2500 0.5440
I9 I 0.8219 0.7500 0.8820
I10 I 0.9276 0.7500 0.2838
```

D(E_F), states/eV per cell: 2.44
Magnetic moment, μB/f.u.: 1.000
Electronic total energy, eV/atom: -4.009
SG: P2_1/m (11)

- The lowest electronic total energy belongs to which entry?
  number 6

- Look up the D(E_F) of the fourth one.
  0.00 states/eV per cell